# BaY2PdI

A geometry-optimized BaY2PdI structure (PBE-GGA, Alexandria via LeMat-Bulk).

Properties
The uncorrected formation energy comes out at 0.102 eV/atom. For the total DFT energy (no corrections), the calculation gives -21.1 eV per cell.

Cell and atoms, written as CIF:
```
data_BaY2PdI
_symmetry_space_group_name_H-M 'P 4/m m m'
_symmetry_Int_Tables_number 123
_symmetry_space_group_name_Hall '-P 4 2'
_cell_length_a 5.8077
_cell_length_b 5.8077
_cell_length_c 5.2171
_cell_angle_alpha 90.00
_cell_angle_beta 90.00
_cell_angle_gamma 90.00
loop_
_atom_site_label
_atom_site_type_symbol
_atom_site_fract_x
_atom_site_fract_y
_atom_site_fract_z
Ba1 Ba 0.0000 0.0000 0.0000
Y1 Y 0.0000 0.5000 0.5000
Pd1 Pd 0.5000 0.5000 0.0000
I1 I 0.5000 0.5000 0.5000
```